No. 1
Here is Dy2ErSc3Sb6 after structural relaxation from Alexandria. Energies are from PBE.

Geometry as CIF:
```
data_Dy2ErSc3Sb6
_chemical_formula_sum 'Dy4 Er2 Sc6 Sb12'
_cell_length_a 7.4012
_cell_length_b 12.8246
_cell_length_c 7.3850
_cell_angle_alpha 90.00
_cell_angle_beta 109.51
_cell_angle_gamma 90.00
_symmetry_space_group_name_H-M 'C 1 2/m 1'
_symmetry_Int_Tables_number 12
_symmetry_space_group_name_Hall '-C 2y'
loop_
_atom_site_label
_atom_site_type_symbol
_atom_site_fract_x
_atom_site_fract_y
_atom_site_fract_z
_atom_site_occupancy
Dy1 Dy 0.0000 0.1664 0.0000 1
Er1 Er 0.0000 0.5000 0.0000 1
Sc1 Sc 0.0000 0.0000 0.5000 1
Sc2 Sc 0.0000 0.3326 0.5000 1
Sb1 Sb 0.2436 0.5000 0.7353 1
Sb2 Sb 0.2461 0.1660 0.7361 1
```

Summary:
As for the raw total energy: -5.81 eV/atom. The energy relative to the elements, uncorrected comes out at -12.3 eV per formula unit. For the total moment, the calculation gives 0.0 μB/f.u. The calculation puts the calculated volume at 27.5 A^3/atom.


No. 2
Here is Se2SBrF after structural relaxation from Alexandria. Energies are from PBE.

Geometry as CIF:
```
data_Se2SBrF
_chemical_formula_sum 'Se2 S1 Br1 F1'
_cell_length_a 4.2182
_cell_length_b 4.2182
_cell_length_c 7.7376
_cell_angle_alpha 90.00
_cell_angle_beta 90.00
_cell_angle_gamma 90.00
_symmetry_space_group_name_H-M 'P 4/m m m'
_symmetry_Int_Tables_number 123
_symmetry_space_group_name_Hall '-P 4 2'
loop_
_atom_site_label
_atom_site_type_symbol
_atom_site_fract_x
_atom_site_fract_y
_atom_site_fract_z
_atom_site_occupancy
Se1 Se 0.0000 0.5000 0.0000 1
S1 S 0.0000 0.0000 0.5000 1
Br1 Br 0.5000 0.5000 0.5000 1
F1 F 0.5000 0.5000 0.0000 1
```

Summary:
As for the raw total energy: -2.27 eV/atom. The energy relative to the elements, uncorrected comes out at 3.3 eV per formula unit. For the total moment, the calculation gives 0.5 μB/f.u. The calculation puts the calculated volume at 27.5 A^3/atom.